The following is a DFT calculation (PBE-GGA) of an optimized crystal structure of Pr2GaCu2.

Cell lengths 9.8857, 5.7509, 7.9250 Å; angles 90.00, 104.30, 90.00 degrees
Last column: nearest neighbours and their distance in Å.
Space group C2/c (No. 15)
Inequivalent atoms, fractional coordinates:
Pr (0.1497, 0.1389, 0.1512) (multiplicity 8)  6 Cu 3.05-3.14, 3 Ga 3.36-3.38
Ga (0.0000, 0.3497, 0.7500) (multiplicity 4)  4 Cu 2.65
Cu (0.1339, 0.3662, 0.4983) (multiplicity 8)  2 Ga 2.65, 1 Cu 2.65

Values from the calculation:
Crystal system   monoclinic
Magnetic moment   0.000 μB per cell

=====

The following is a DFT calculation (PBE-GGA) of an optimized crystal structure of PrGa2Cu9.

Cell lengths 5.0177, 5.0177, 24.0520 Å; angles 90.00, 90.00, 120.00 degrees
Last column: nearest neighbours and their distance in Å.
Space group R-3m (No. 166, hexagonal axes)
Inequivalent atoms, fractional coordinates:
Pr (0.0000, 0.0000, 0.0000) (multiplicity 3)  6 Cu 2.90
Ga (0.0000, 0.0000, 0.1428) (multiplicity 6)  12 Cu 2.85-2.95, 3 Ga 3.12
Cu (0.0000, 0.0000, 0.3340) (multiplicity 6)  6 Cu 2.54
Cu (0.0000, 0.0000, 0.5000) (multiplicity 3)  6 Cu 2.42
Cu (0.0062, 0.5031, 0.9131) (multiplicity 18)  7 Cu 2.42-2.56

Values from the calculation:
Energy above the lowest structure with this stoichiometry   59 meV/atom
Crystal system   trigonal
Magnetic moment   0.000 μB per cell

=====

The following is a DFT calculation (PBE-GGA) of an optimized crystal structure of Pr2Ga3Cu6.

Cell lengths 7.3246, 7.3246, 4.1947 Å; angles 90.00, 90.00, 120.00 degrees
Last column: nearest neighbours and their distance in Å.
Space group P-62m (No. 189)
Inequivalent atoms, fractional coordinates:
Pr (0.3333, 0.6667, 0.0000) (multiplicity 2)  9 Cu 3.09-3.41, 6 Ga 3.10
Ga (0.0000, 0.6186, 0.5000) (multiplicity 3)  5 Cu 2.49-2.54
Cu (0.0000, 0.2724, 0.5000) (multiplicity 3)  3 Ga 2.49-2.54, 4 Cu 2.75
Cu (0.0000, 0.8070, 0.0000) (multiplicity 3)  2 Cu 2.45, 2 Ga 2.51

Values from the calculation:
Crystal system   hexagonal
Magnetic moment   0.000 μB per cell

=====

The following is a DFT calculation (PBE-GGA) of an optimized crystal structure of Pr6Ga3Cu.

Cell lengths 9.2280, 11.5701, 5.2636 Å; angles 90.00, 90.00, 90.00 degrees
Last column: nearest neighbours and their distance in Å.
Space group Pnnm (No. 58)
Inequivalent atoms, fractional coordinates:
Pr (0.0011, 0.2458, 0.0000) (multiplicity 4)  1 Cu 2.84, 4 Ga 2.94-3.06
Pr (0.1678, 0.5696, 0.5000) (multiplicity 4)  2 Ga 3.16, 1 Cu 3.17, 3 Pr 3.47-3.49
Pr (0.1675, 0.9245, 0.5000) (multiplicity 4)  2 Cu 3.17, 1 Ga 3.19, 3 Pr 3.47-3.55
Ga (0.0000, 0.5000, 0.0000) (multiplicity 2)  8 Pr 2.94-3.19
Ga (0.1700, 0.2511, 0.5000) (multiplicity 4)  3 Pr 3.06
Cu (0.0000, 0.0000, 0.0000) (multiplicity 2)  8 Pr 2.84-3.17

Values from the calculation:
Crystal system   orthorhombic
Magnetic moment   0.002 μB per cell

=====

The following is a DFT calculation (PBE-GGA) of an optimized crystal structure of PrGaCu3.

Cell lengths 5.1581, 6.0669, 5.8255 Å; angles 90.00, 105.09, 90.00 degrees
Last column: nearest neighbours and their distance in Å.
Space group P2_1/m (No. 11)
Inequivalent atoms, fractional coordinates:
Pr (0.2250, 0.2500, 0.2201) (multiplicity 2)  10 Cu 2.97-3.25, 3 Ga 3.23-3.27
Ga (0.1842, 0.7500, 0.3974) (multiplicity 2)  5 Cu 2.43-2.55
Cu (0.2571, 0.0366, 0.7161) (multiplicity 4)  3 Cu 2.47-2.59, 2 Ga 2.50-2.55
Cu (0.3571, 0.7500, 0.0466) (multiplicity 2)  1 Ga 2.43, 4 Cu 2.47-2.55

Values from the calculation:
Energy above the lowest structure with this stoichiometry   0 meV/atom
Crystal system   monoclinic
Magnetic moment   0.000 μB per cell

=====

The following is a DFT calculation (PBE-GGA) of an optimized crystal structure of PrGa4Cu2Pt.

Cell lengths 4.2229, 4.2229, 27.4901 Å; angles 90.00, 90.00, 120.00 degrees
Last column: nearest neighbours and their distance in Å.
Space group R-3m (No. 166, hexagonal axes)
Inequivalent atoms, fractional coordinates:
Pr (0.0000, 0.0000, 0.0000) (multiplicity 3)  6 Ga 3.10, 6 Cu 3.44
Ga (0.0000, 0.0000, 0.1280) (multiplicity 6)  3 Pt 2.66, 3 Cu 2.67, 3 Ga 2.92
Ga (0.0000, 0.0000, 0.4027) (multiplicity 6)  3 Cu 2.49, 1 Pt 2.67
Cu (0.0000, 0.0000, 0.2450) (multiplicity 6)  6 Ga 2.49-2.67
Pt (0.0000, 0.0000, 0.5000) (multiplicity 3)  8 Ga 2.66-2.67

Values from the calculation:
Crystal system   trigonal
Magnetic moment   0.000 μB per cell

=====

The following is a DFT calculation (PBE-GGA) of an optimized crystal structure of PrGaCu2Pt4.

Cell lengths 4.3201, 4.3201, 25.6123 Å; angles 90.00, 90.00, 120.00 degrees
Last column: nearest neighbours and their distance in Å.
Space group R-3m (No. 166, hexagonal axes)
Inequivalent atoms, fractional coordinates:
Pr (0.0000, 0.0000, 0.0000) (multiplicity 3)  8 Pt 3.07-3.35, 6 Cu 3.38
Ga (0.0000, 0.0000, 0.5000) (multiplicity 3)  8 Pt 2.49-2.66
Cu (0.0000, 0.0000, 0.2442) (multiplicity 6)  6 Pt 2.54-2.71
Pt (0.0000, 0.0000, 0.1308) (multiplicity 6)  3 Ga 2.66, 4 Cu 2.71-2.90, 3 Pt 2.95
Pt (0.0000, 0.0000, 0.4030) (multiplicity 6)  1 Ga 2.49, 3 Cu 2.54

Values from the calculation:
Crystal system   trigonal
Magnetic moment   0.000 μB per cell

=====

The following is a DFT calculation (PBE-GGA) of an optimized crystal structure of PrGa2CuPt4.

Cell lengths 4.3016, 4.3016, 26.5046 Å; angles 90.00, 90.00, 120.00 degrees
Last column: nearest neighbours and their distance in Å.
Space group R-3m (No. 166, hexagonal axes)
Inequivalent atoms, fractional coordinates:
Pr (0.0000, 0.0000, 0.0000) (multiplicity 3)  6 Pt 3.11
Ga (0.0000, 0.0000, 0.2376) (multiplicity 6)  7 Pt 2.57-2.78
Cu (0.0000, 0.0000, 0.5000) (multiplicity 3)  8 Pt 2.54-2.64
Pt (0.0000, 0.0000, 0.1329) (multiplicity 6)  3 Cu 2.64, 4 Ga 2.67-2.78
Pt (0.0000, 0.0000, 0.4042) (multiplicity 6)  1 Cu 2.54, 3 Ga 2.57

Values from the calculation:
Crystal system   trigonal
Magnetic moment   0.000 μB per cell

=====

Result set for energy of formation: -0.31, -0.10, -0.26, -0.29, -0.25, -0.42, -0.54, -0.69 eV per atom, one per record in the order listed.